Computed, not measured: an optimized crystal structure of Ce2AsNO at the PBE level of DFT.

Results
V in A^3/atom: 20.26
Energy relative to the elements, uncorrected in eV/f.u.: -9.9

CIF file:
```
data_Ce2AsNO
_chemical_formula_sum 'Ce4 As2 N2 O2'
_cell_length_a 6.499
_cell_length_b 6.499
_cell_length_c 8.325
_cell_angle_alpha 99.40
_cell_angle_beta 99.40
_cell_angle_gamma 35.79
_space_group_name_H-M_alt 'P 1'
_space_group_IT_number 1
loop_
_space_group_symop_operation_xyz
'x,y,z'
loop_
_atom_site_label
_atom_site_fract_x
_atom_site_fract_y
_atom_site_fract_z
Ce1 0.130 0.130 0.298
Ce2 0.367 0.367 0.075
Ce3 0.633 0.633 0.925
Ce4 0.870 0.870 0.702
As1 0.167 0.167 0.657
As2 0.833 0.833 0.343
N1 0.177 0.177 0.055
N2 0.823 0.823 0.945
O1 0.447 0.447 0.811
O2 0.553 0.553 0.189
```